No. 1
Here is a geometry-optimized Ba6HPt2Au structure from the Alexandria database. Energies are from PBE.

Summary:
density of states at the Fermi level = 5.71 states/eV per cell
volume = 39.578 Å³/atom
size of the total moment = 0.00 μB per formula unit
calculated total energy = -3.5818 eV/atom

abc: 7.847 7.854 8.687
angles: 63.15 63.16 60.04
Fractional positions:
Ba1 0.000 0.000 0.000
Ba2 0.138 0.521 0.489
Ba3 0.291 0.331 0.000
Ba4 0.475 0.846 0.489
Ba5 0.622 0.709 0.000
Ba6 0.813 0.183 0.489
H1 0.218 0.928 0.259
Pt1 0.397 0.105 0.725
Pt2 0.891 0.599 0.241
Au1 0.717 0.426 0.764

---

No. 2
Here is a geometry-optimized Ba2HPtAu structure from the Alexandria database. Energies are from PBE.

Summary:
density of states at the Fermi level = 2.12 states/eV per cell
volume = 24.958 Å³/atom
size of the total moment = 0.00 μB per formula unit
calculated total energy = -3.9463 eV/atom

abc: 5.730 5.730 3.801
angles: 90.00 90.00 90.00
Fractional positions:
Ba1 0.000 0.500 0.000
Ba2 0.500 0.000 0.000
H1 0.000 0.000 0.000
Pt1 0.000 0.000 0.500
Au1 0.500 0.500 0.500

---

No. 3
Here is a geometry-optimized BaH8Pt2Au structure from the Alexandria database. Energies are from PBE.

Summary:
density of states at the Fermi level = 2.61 states/eV per cell
volume = 11.342 Å³/atom
size of the total moment = 0.00 μB per formula unit
calculated total energy = -3.7787 eV/atom

abc: 6.601 6.601 6.601
angles: 46.07 46.07 46.07
Fractional positions:
Ba1 0.000 0.000 0.000
H1 0.128 0.575 0.575
H2 0.313 0.313 0.313
H3 0.425 0.425 0.872
H4 0.425 0.872 0.425
H5 0.575 0.128 0.575
H6 0.575 0.575 0.128
H7 0.687 0.687 0.687
H8 0.872 0.425 0.425
Pt1 0.222 0.222 0.222
Pt2 0.778 0.778 0.778
Au1 0.500 0.500 0.500

---

No. 4
Here is a geometry-optimized Ba6HPtAu2 structure from the Alexandria database. Energies are from PBE.

Summary:
density of states at the Fermi level = 5.81 states/eV per cell
volume = 41.135 Å³/atom
size of the total moment = 0.00 μB per formula unit
calculated total energy = -3.2796 eV/atom

abc: 8.712 8.712 8.712
angles: 54.85 54.85 54.85
Fractional positions:
Ba1 0.004 0.360 0.636
Ba2 0.137 0.859 0.506
Ba3 0.360 0.636 0.004
Ba4 0.506 0.137 0.859
Ba5 0.636 0.004 0.360
Ba6 0.859 0.506 0.137
H1 0.742 0.742 0.742
Pt1 0.247 0.247 0.247
Au1 0.429 0.429 0.429
Au2 0.931 0.931 0.931

---

No. 5
Here is a geometry-optimized Rb2BaH6Au2 structure from the Alexandria database. Energies are from PBE.

Summary:
volume = 20.611 Å³/atom
size of the total moment = 0.00 μB per formula unit
calculated total energy = -3.0170 eV/atom

abc: 6.061 6.061 7.959
angles: 109.77 109.77 57.17
Fractional positions:
Rb1 0.189 0.189 0.149
Rb2 0.811 0.811 0.851
Ba1 0.000 0.000 0.500
H1 0.196 0.693 0.194
H2 0.283 0.283 0.607
H3 0.307 0.804 0.806
H4 0.693 0.196 0.194
H5 0.717 0.717 0.393
H6 0.804 0.307 0.806
Au1 0.454 0.454 0.731
Au2 0.546 0.546 0.269

---

No. 6
Here is a geometry-optimized RbBaH6Au2 structure from the Alexandria database. Energies are from PBE.

Summary:
density of states at the Fermi level = 5.38 states/eV per cell
volume = 17.068 Å³/atom
size of the total moment = 0.00 μB per formula unit
calculated total energy = -3.1993 eV/atom

abc: 7.549 7.549 6.426
angles: 98.01 98.01 106.55
Fractional positions:
Rb1 0.106 0.894 0.750
Rb2 0.894 0.106 0.250
Ba1 0.368 0.632 0.250
Ba2 0.632 0.368 0.750
H1 0.079 0.535 0.861
H2 0.088 0.826 0.255
H3 0.174 0.912 0.245
H4 0.279 0.340 0.498
H5 0.340 0.279 0.998
H6 0.465 0.921 0.639
H7 0.535 0.079 0.361
H8 0.660 0.721 0.002
H9 0.721 0.660 0.502
H10 0.826 0.088 0.755
H11 0.912 0.174 0.745
H12 0.921 0.465 0.139
Au1 0.195 0.453 0.688
Au2 0.453 0.195 0.188
Au3 0.547 0.805 0.812
Au4 0.805 0.547 0.312

---

No. 7
Here is a geometry-optimized RbBaH6Au3 structure from the Alexandria database. Energies are from PBE.

Summary:
density of states at the Fermi level = 0.00 states/eV per cell
volume = 22.366 Å³/atom
size of the total moment = 0.00 μB per formula unit
calculated total energy = -3.2230 eV/atom

abc: 6.542 6.542 6.542
angles: 71.98 71.98 71.98
Fractional positions:
Rb1 0.000 0.000 0.000
Ba1 0.534 0.534 0.534
H1 0.108 0.846 0.567
H2 0.398 0.607 0.946
H3 0.567 0.108 0.846
H4 0.607 0.946 0.398
H5 0.846 0.567 0.108
H6 0.946 0.398 0.607
Au1 0.012 0.629 0.595
Au2 0.595 0.012 0.629
Au3 0.629 0.595 0.012

---

No. 8
Here is a geometry-optimized Ba5HRhAu2 structure from the Alexandria database. Energies are from PBE.

Summary:
density of states at the Fermi level = 10.45 states/eV per cell
volume = 35.322 Å³/atom
size of the total moment = 0.00 μB per formula unit
calculated total energy = -3.4373 eV/atom

abc: 10.081 10.081 14.216
angles: 90.00 90.00 153.89
Fractional positions:
Ba1 0.004 0.996 0.500
Ba2 0.151 0.849 0.753
Ba3 0.190 0.810 0.111
Ba4 0.205 0.795 0.410
Ba5 0.457 0.543 0.740
Ba6 0.543 0.457 0.240
Ba7 0.795 0.205 0.910
Ba8 0.810 0.190 0.611
Ba9 0.849 0.151 0.253
Ba10 0.996 0.004 0.000
H1 0.057 0.943 0.156
H2 0.943 0.057 0.656
Rh1 0.304 0.696 0.763
Rh2 0.696 0.304 0.263
Au1 0.378 0.622 0.071
Au2 0.385 0.615 0.432
Au3 0.615 0.385 0.932
Au4 0.622 0.378 0.571

---

No. 9
Here is a geometry-optimized Ba2H4RhAu2 structure from the Alexandria database. Energies are from PBE.

Summary:
density of states at the Fermi level = 1.88 states/eV per cell
volume = 18.065 Å³/atom
size of the total moment = 0.00 μB per formula unit
calculated total energy = -3.9337 eV/atom

abc: 6.041 6.041 6.041
angles: 116.79 116.79 95.66
Fractional positions:
Ba1 0.250 0.750 0.500
Ba2 0.750 0.250 0.500
H1 0.190 0.190 0.379
H2 0.190 0.810 0.000
H3 0.810 0.190 0.000
H4 0.810 0.810 0.621
Rh1 0.000 0.000 0.000
Au1 0.336 0.336 0.000
Au2 0.664 0.664 0.000

---

No. 10
Here is a geometry-optimized Ba2H6RhAu structure from the Alexandria database. Energies are from PBE.

Summary:
density of states at the Fermi level = 0.07 states/eV per cell
volume = 14.005 Å³/atom
size of the total moment = 0.00 μB per formula unit
calculated total energy = -3.9715 eV/atom

abc: 5.827 5.827 5.825
angles: 119.91 119.91 90.14
Fractional positions:
Ba1 0.250 0.750 0.000
Ba2 0.750 0.250 0.000
H1 0.206 0.206 0.913
H2 0.206 0.794 0.500
H3 0.207 0.207 0.499
H4 0.794 0.206 0.500
H5 0.794 0.794 0.087
H6 0.794 0.794 0.501
Rh1 0.000 0.000 0.500
Au1 0.500 0.500 0.500

---

No. 11
Here is a geometry-optimized Ba6HRh2Au structure from the Alexandria database. Energies are from PBE.

Summary:
density of states at the Fermi level = 6.43 states/eV per cell
volume = 37.804 Å³/atom
size of the total moment = 0.00 μB per formula unit
calculated total energy = -3.5793 eV/atom

abc: 7.706 7.708 8.587
angles: 63.36 63.35 60.06
Fractional positions:
Ba1 0.000 0.000 0.000
Ba2 0.139 0.533 0.515
Ba3 0.282 0.381 0.000
Ba4 0.476 0.857 0.515
Ba5 0.662 0.718 0.000
Ba6 0.816 0.192 0.515
H1 0.065 0.783 0.748
Rh1 0.399 0.116 0.749
Rh2 0.890 0.607 0.276
Au1 0.567 0.284 0.245

---

No. 12
Here is a geometry-optimized Ba2H6RuAu structure from the Alexandria database. Energies are from PBE.

Summary:
density of states at the Fermi level = 3.85 states/eV per cell
volume = 14.738 Å³/atom
size of the total moment = 0.55 μB per formula unit
calculated total energy = -4.0030 eV/atom

abc: 5.537 5.537 5.551
angles: 90.00 90.00 120.00
Fractional positions:
Ba1 0.333 0.667 0.240
Ba2 0.667 0.333 0.760
H1 0.158 0.317 0.845
H2 0.158 0.842 0.845
H3 0.317 0.158 0.155
H4 0.683 0.842 0.845
H5 0.842 0.158 0.155
H6 0.842 0.683 0.155
Ru1 0.000 0.000 0.000
Au1 0.000 0.000 0.500